NbCrGe2O8 | PBE with a Hubbard U | relaxed

Values from the calculation:
The value obtained for the calculated total energy is -7.345 eV per atom.

Cell and atoms, written as CIF:
```
data_NbCrGe2O8
_symmetry_space_group_name_H-M 'I -4 m 2'
_symmetry_Int_Tables_number 119
_symmetry_space_group_name_Hall 'I -4 -2'
_cell_length_a 6.5240
_cell_length_b 6.5240
_cell_length_c 6.3461
_cell_angle_alpha 90.00
_cell_angle_beta 90.00
_cell_angle_gamma 90.00
loop_
_atom_site_label
_atom_site_type_symbol
_atom_site_fract_x
_atom_site_fract_y
_atom_site_fract_z
Nb1 Nb 0.0000 0.0000 0.0000
Cr1 Cr 0.0000 0.5000 0.2500
Ge1 Ge 0.0000 0.0000 0.5000
Ge2 Ge 0.0000 0.5000 0.7500
O1 O 0.0000 0.1879 0.2959
O2 O 0.0000 0.3054 0.9394
```